1.
# Li2TaReO6

An optimized crystal structure of Li2TaReO6 (PBE-GGA, Alexandria via LeMat-Bulk).

As for the uncorrected formation energy: -2.111 eV/atom. Its total energy is -7.899 eV per atom. The value obtained for the spin magnetization is 0.8 μB/f.u.

Cell: 5.6108 5.6108 3.8868 Å, 90.00 90.00 90.00°
Sites, in units of the cell vectors:
Li 0.0000 0.5000 0.0000
Li 0.5000 0.0000 0.0000
Ta 0.0000 0.0000 0.7927
Re 0.5000 0.5000 0.8148
O 0.0000 0.0000 0.3055
O 0.2522 0.2522 0.8245
O 0.2522 0.7478 0.8245
O 0.5000 0.5000 0.3186
O 0.7478 0.2522 0.8245
O 0.7478 0.7478 0.8245

2.
# BaTl2PbI6

An optimized crystal structure of BaTl2PbI6 (PBE-GGA, Alexandria via LeMat-Bulk).

As for the uncorrected formation energy: -0.969 eV/atom. Its total energy is -2.936 eV per atom. The value obtained for the spin magnetization is 0.0 μB/f.u.

Cell: 8.4478 9.0855 14.6268 Å, 90.00 122.42 90.00°
Sites, in units of the cell vectors:
Ba 0.0000 0.0000 0.0000
Ba 0.0000 0.5000 0.5000
Tl 0.3063 0.0993 0.7745
Tl 0.3063 0.4007 0.2745
Tl 0.6937 0.5993 0.7255
Tl 0.6937 0.9007 0.2255
Pb 0.5000 0.0000 0.5000
Pb 0.5000 0.5000 0.0000
I 0.1120 0.0468 0.2631
I 0.1120 0.4532 0.7631
I 0.2672 0.6785 0.0838
I 0.2672 0.8215 0.5838
I 0.3997 0.1845 0.0599
I 0.3997 0.3155 0.5599
I 0.6003 0.6845 0.4401
I 0.6003 0.8155 0.9401
I 0.7328 0.1785 0.4162
I 0.7328 0.3215 0.9162
I 0.8880 0.5468 0.2369
I 0.8880 0.9532 0.7369

3.
# La7Ag2Ir2

An optimized crystal structure of La7Ag2Ir2 (PBE-GGA, Alexandria via LeMat-Bulk).

Its formation enthalpy at 0 K is -0.351 eV/atom. Its total energy is -5.616 eV per atom. The value obtained for the spin magnetization is 0.0 μB/f.u.

Cell: 7.0833 7.0833 7.3243 Å, 90.00 90.00 108.34°
Sites, in units of the cell vectors:
La 0.0000 0.0000 0.0000
La 0.0000 0.5000 0.2577
La 0.0000 0.5000 0.7423
La 0.5000 0.0000 0.2577
La 0.5000 0.0000 0.7423
La 0.5000 0.5000 0.2475
La 0.5000 0.5000 0.7525
Ag 0.1707 0.1707 0.5000
Ag 0.8293 0.8293 0.5000
Ir 0.2886 0.7114 0.0000
Ir 0.7114 0.2886 0.0000

4.
# BaHg8Au2

An optimized crystal structure of BaHg8Au2 (PBE-GGA, Alexandria via LeMat-Bulk).

Its formation enthalpy at 0 K is -0.064 eV/atom. Its total energy is -1.054 eV per atom. The value obtained for the spin magnetization is 0.0 μB/f.u.

Cell: 7.3438 7.3438 6.1751 Å, 90.00 90.00 90.00°
Sites, in units of the cell vectors:
Ba 0.0000 0.0000 0.0000
Hg 0.2898 0.2898 0.2511
Hg 0.2898 0.2898 0.7489
Hg 0.2898 0.7102 0.2511
Hg 0.2898 0.7102 0.7489
Hg 0.7102 0.2898 0.2511
Hg 0.7102 0.2898 0.7489
Hg 0.7102 0.7102 0.2511
Hg 0.7102 0.7102 0.7489
Au 0.0000 0.5000 0.5000
Au 0.5000 0.0000 0.5000

spin magnetization of number 4 (BaHg8Au2)?
0.0 μB/f.u.

Repeat the second record exactly.
# BaTl2PbI6

An optimized crystal structure of BaTl2PbI6 (PBE-GGA, Alexandria via LeMat-Bulk).

As for the uncorrected formation energy: -0.969 eV/atom. Its total energy is -2.936 eV per atom. The value obtained for the spin magnetization is 0.0 μB/f.u.

Cell: 8.4478 9.0855 14.6268 Å, 90.00 122.42 90.00°
Sites, in units of the cell vectors:
Ba 0.0000 0.0000 0.0000
Ba 0.0000 0.5000 0.5000
Tl 0.3063 0.0993 0.7745
Tl 0.3063 0.4007 0.2745
Tl 0.6937 0.5993 0.7255
Tl 0.6937 0.9007 0.2255
Pb 0.5000 0.0000 0.5000
Pb 0.5000 0.5000 0.0000
I 0.1120 0.0468 0.2631
I 0.1120 0.4532 0.7631
I 0.2672 0.6785 0.0838
I 0.2672 0.8215 0.5838
I 0.3997 0.1845 0.0599
I 0.3997 0.3155 0.5599
I 0.6003 0.6845 0.4401
I 0.6003 0.8155 0.9401
I 0.7328 0.1785 0.4162
I 0.7328 0.3215 0.9162
I 0.8880 0.5468 0.2369
I 0.8880 0.9532 0.7369

Which value of spin magnetization does entry 1 give?
0.8 μB/f.u.